An optimized crystal structure of Li4TlSn2, computed with PBE.

The space group is C2/m (No. 12) and the conventional cell measures 7.916, 5.000 and 8.472 Å, with angles of 90.00, 117.20 and 90.00 degrees. The distinct sites, in fractional coordinates, are Li at (0.073, 0.000, 0.235), Li at (0.222, 0.000, 0.648), Tl at (0.000, 0.500, 0.500) and Sn at (0.140, 0.500, 0.913).

Its formation energy from the elements is -1.52 eV/f.u.

An optimized crystal structure of Li8Tl2Sn, computed with PBE.

The space group is C2/m (No. 12) and the conventional cell measures 7.476, 13.732 and 4.788 Å, with angles of 90.00, 119.99 and 90.00 degrees. The distinct sites, in fractional coordinates, are Li at (0.000, 0.205, 0.000), Li at (0.092, 0.500, 0.794), Li at (0.208, 0.111, 0.662), Tl at (0.000, 0.312, 0.500) and Sn at (0.000, 0.000, 0.000).

Its formation energy from the elements is -2.14 eV/f.u.

An optimized crystal structure of LiTlSn, computed with PBE.

The space group is P6_3mc (No. 186) and the conventional cell measures 4.8467, 4.8467 and 7.9955 Å, with angles of 90.00, 90.00 and 120.00 degrees. The distinct sites, in fractional coordinates, are Li at (0.0000, 0.0000, 0.0000), Tl at (0.3333, 0.6667, 0.3154) and Sn at (0.3333, 0.6667, 0.6936).

Its formation energy from the elements is -0.20 eV/f.u.